MnIn2GaO6 | Alexandria via LeMat-Bulk | PBE+U | optimized geometry; volume = 11.73 A^3/atom; total energy = -6.162 eV/atom
1.0
5.440 0.033 -0.116
2.748 4.582 -0.060
2.631 1.536 4.665
O Ga Mn In
6 1 1 2
Cartesian
4.489 1.299 1.160
7.486 3.189 1.117
3.738 3.231 3.498
6.241 4.304 3.543
4.431 4.772 1.026
6.057 1.605 3.430
2.729 1.559 0.239
8.118 4.599 2.444
2.639 1.556 4.264
5.435 3.101 1.856

Mn2InGaO6 | Alexandria via LeMat-Bulk | PBE+U | optimized geometry; volume = 11.20 A^3/atom; total energy = -6.645 eV/atom
1.0
-4.957 -0.607 -1.501
-1.085 -2.364 -4.520
-2.176 -5.185 0.225
O Mn In Ga
6 2 1 1
Cartesian
-2.587 -3.536 -4.506
-5.426 -4.703 -1.520
-2.715 -4.916 -1.723
-5.813 -3.220 -4.147
-3.796 -2.076 -1.852
-4.312 -5.906 -3.699
-4.097 -3.775 -3.059
-2.171 -5.061 0.159
-6.138 -5.454 -4.700
-2.022 -1.204 -1.893

MnInGaO4 | Alexandria via LeMat-Bulk | PBE+U | optimized geometry; volume = 12.30 A^3/atom; total energy = -6.396 eV/atom
1.0
-3.437 0.721 -5.048
-5.355 -3.161 -0.551
-5.393 3.122 0.373
Mn Ga O In
2 2 8 2
Cartesian
-4.415 1.922 -2.338
-2.696 1.561 0.186
-8.075 1.811 -1.734
-6.109 -1.128 -3.492
-3.556 0.175 -1.299
-6.211 -1.409 -1.587
-7.973 2.091 -3.639
-8.930 0.145 -1.390
-10.629 0.507 -3.927
-7.933 -1.048 -4.115
-6.252 1.730 -1.111
-5.255 0.537 -3.836
-5.374 -0.019 -0.089
0.000 0.000 0.000